# 1
{
  "formula": "PmThAlCu",
  "functional": "PBE",
  "state": "optimized geometry",
  "dft_energy_ev_per_cell": -20.603,
  "rho_g_cm3": 7.93,
  "formation_energy_ev_per_atom": -0.148,
  "sg": "F-43m",
  "lattice_angstrom": [[5.173, 0.000, 0.000], [2.587, 4.480, 0.000], [2.587, 1.493, 4.224]],
  "species": ["Th", "Cu", "Al", "Pm"],
  "frac_coords": [[0.500, 0.500, 0.500], [0.250, 0.250, 0.250], [0.750, 0.750, 0.750], [0.000, 0.000, 0.000]]
}

# 2
{
  "formula": "PmTmAlCu",
  "functional": "PBE",
  "state": "optimized geometry",
  "dft_energy_ev_per_cell": -18.089,
  "rho_g_cm3": 7.25,
  "formation_energy_ev_per_atom": -0.257,
  "sg": "F-43m",
  "lattice_angstrom": [[5.078, 0.000, 0.000], [2.539, 4.398, 0.000], [2.539, 1.466, 4.146]],
  "species": ["Cu", "Tm", "Al", "Pm"],
  "frac_coords": [[0.750, 0.750, 0.750], [0.000, 0.000, 0.000], [0.250, 0.250, 0.250], [0.500, 0.500, 0.500]]
}

# 3
{
  "formula": "PmYAlCu",
  "functional": "PBE",
  "state": "optimized geometry",
  "dft_energy_ev_per_cell": -20.244,
  "rho_g_cm3": 5.79,
  "formation_energy_ev_per_atom": -0.298,
  "sg": "P4mm",
  "lattice_angstrom": [[-3.502, 0.339, 0.156], [-0.226, -0.747, -3.434], [-0.632, -7.291, 1.628]],
  "species": ["Pm", "Y", "Al", "Cu"],
  "frac_coords": [[0.000, 0.000, 0.366], [0.000, 0.000, 0.841], [0.500, 0.500, 0.096], [0.500, 0.500, 0.625]]
}